DFT (PBE) results for a relaxed Ag2C crystal.

Properties
Energy above the most stable polymorph in this dataset ... 931 meV per atom
E ... -10.25 eV/f.u.
ΔH_f (0 K) ... 1.5575 eV per atom
M_tot ... 0.00 μB/atom

Cell lengths 2.940, 12.930, 4.579 Å; angles 90.00, 90.00, 90.00 degrees
Space group Cmcm (No. 63)
Unique sites:
Ag (0.000, 0.072, 0.250) [4 per cell]
Ag (0.000, 0.212, 0.750) [4 per cell]
C (0.000, 0.423, 0.250) [4 per cell]